1.
Bi3SbF: relaxed, PBE.

a b c (Å): 5.147 5.147 5.147
angles (deg): 90.00 90.00 90.00
Atoms (fractional coordinates):
Sb (0.500, 0.500, 0.500)
Bi (0.000, 0.500, 0.000)
Bi (0.000, 0.000, 0.500)
Bi (0.500, 0.000, 0.000)
F (0.000, 0.000, 0.000)

Values from the calculation:
E_tot: -18.6 eV for the cell shown
Total magnetic moment: 0.00 μB per formula unit
E above lowest polymorph: 0 meV/atom
Formation energy (no corrections): -0.20 eV per atom
SG: Pm-3m (221)

---

2.
BiSb3F20: relaxed, PBE.

a b c (Å): 5.542 8.860 8.860
angles (deg): 111.26 91.94 91.94
Atoms (fractional coordinates):
Bi (0.000, 0.210, 0.790)
Sb (0.000, 0.800, 0.200)
Sb (0.762, 0.254, 0.256)
Sb (0.238, 0.744, 0.746)
F (0.655, 0.457, 0.268)
F (0.671, 0.255, 0.459)
F (0.329, 0.541, 0.745)
F (0.345, 0.732, 0.543)
F (0.082, 0.329, 0.330)
F (0.918, 0.670, 0.671)
F (0.850, 0.422, 0.837)
F (0.878, 0.841, 0.406)
F (0.122, 0.594, 0.159)
F (0.150, 0.163, 0.578)
F (0.876, 0.209, 0.030)
F (0.891, 0.024, 0.208)
F (0.109, 0.792, 0.976)
F (0.124, 0.970, 0.791)
F (0.476, 0.138, 0.147)
F (0.524, 0.853, 0.862)
F (0.308, 0.291, 0.924)
F (0.300, 0.912, 0.279)
F (0.700, 0.721, 0.088)
F (0.692, 0.076, 0.709)

Values from the calculation:
E_tot: -104.4 eV for the cell shown
Total magnetic moment: 0.29 μB per formula unit
Formation energy (no corrections): -2.11 eV per atom
SG: C2 (5)

---

3.
BiSbF6: relaxed, PBE.

a b c (Å): 5.202 5.202 5.761
angles (deg): 96.14 96.14 112.65
Atoms (fractional coordinates):
Bi (0.000, 0.000, 0.000)
Sb (0.500, 0.500, 0.500)
F (0.241, 0.241, 0.731)
F (0.424, 0.108, 0.246)
F (0.759, 0.759, 0.269)
F (0.892, 0.576, 0.754)
F (0.576, 0.892, 0.754)
F (0.108, 0.424, 0.246)

Values from the calculation:
E_tot: -37.5 eV for the cell shown
Total magnetic moment: 0.00 μB per formula unit
Formation energy (no corrections): -2.29 eV per atom
SG: C2/m (12)

---

Record-wise DOS(E_F) values, in states/eV/cell: 3.06, 0.00, 0.00